Density functional theory data (PBE) for crystalline Rb4TmCl7 at its relaxed geometry.

POSCAR file:
```
Rb4TmCl7
1.0
8.3445 -2.6321 0.0000
8.3445 2.6321 0.0000
-2.6553 0.0000 10.8184
Rb Tm Cl
4 1 7
Cartesian
-0.3674 0.0000 2.1672
2.0400 0.0000 8.8453
11.9938 0.0000 1.9731
14.4012 0.0000 8.6512
7.0169 0.0000 5.4092
-1.3277 0.0000 5.4092
2.3344 0.0000 0.4113
5.6749 0.0000 3.1826
4.8689 0.0000 6.8752
9.1648 0.0000 3.9432
8.3589 0.0000 7.6358
11.6994 0.0000 10.4071
```

Properties
The uncorrected formation energy comes out at -2065 meV per atom. The total moment comes out at 0.33 μB/f.u.